Density functional theory data (PBE) for a relaxed KMg6W crystal.

Calculated values
Volume, A^3/atom: 23.44
Spin magnetization, μB per formula unit: 0.0
Energy of formation, eV per formula unit: 3.38

Cell: 6.5276 6.5276 4.4008 Å, 90.00 90.00 90.00°
Last column: nearest neighbours and their distance in Å.
Space group P4/mmm (No. 123)
Asymmetric unit:
K 0.0000 0.0000 0.0000 [1 per cell]  12 Mg 3.26-3.43
Mg 0.0000 0.5000 0.0000 [2 per cell]  8 Mg 3.21, 2 W 3.26, 2 K 3.26
Mg 0.2851 0.2851 0.5000 [4 per cell]  2 Mg 2.81, 2 W 2.96
W 0.5000 0.5000 0.0000 [1 per cell]  12 Mg 2.96-3.26

Density functional theory data (PBE) for a relaxed Sc2CdTe crystal.

Calculated values
Excess energy over the best structure of this formula in the dataset, meV/atom: 90
Volume, A^3/atom: 23.11
Spin magnetization, μB per formula unit: 0.7
Formation energy without anion corrections, kJ/mol of formula units: -188

Cell: 6.4909 7.9798 3.5699 Å, 90.00 90.00 90.00°
Last column: nearest neighbours and their distance in Å.
Space group Cmmm (No. 65)
Asymmetric unit:
Sc 0.2500 0.2500 0.0000 [4 per cell]  4 Cd 3.13, 4 Te 3.13, 2 Sc 3.25
Cd 0.0000 0.0000 0.5000 [2 per cell]  8 Sc 3.13, 2 Te 3.25
Te 0.0000 0.5000 0.5000 [2 per cell]  8 Sc 3.13, 2 Cd 3.25

Density functional theory data (PBE) for a relaxed PPb crystal.

Calculated values
Volume, A^3/atom: 27.39
Spin magnetization, μB per formula unit: 0.0
Energy of formation, eV per formula unit: 0.07

Cell: 4.7789 3.3254 7.2847 Å, 90.00 108.83 90.00°
Last column: nearest neighbours and their distance in Å.
Space group P2_1/m (No. 11)
Asymmetric unit:
P 0.0544 0.2500 0.1045 [2 per cell]  2 P 2.20
Pb 0.3322 0.7500 0.6679 [2 per cell]  2 P 2.85-2.86

Density functional theory data (PBE) for a relaxed Al2SiNi4 crystal.

Calculated values
Excess energy over the best structure of this formula in the dataset, meV/atom: 215
Volume, A^3/atom: 13.47
Spin magnetization, μB per formula unit: 0.0
Formation energy without anion corrections, kJ/mol of formula units: -198

Cell: 3.8819 3.8819 7.2264 Å, 90.00 90.00 120.00°
Last column: nearest neighbours and their distance in Å.
Space group P3m1 (No. 156)
Asymmetric unit:
Al 0.0000 0.0000 0.0000 [1 per cell]  6 Ni 2.33-2.34
Al 0.3333 0.6667 0.7448 [1 per cell]  8 Ni 2.38-2.57
Si 0.6667 0.3333 0.2513 [1 per cell]  8 Ni 2.31-2.53
Ni 0.3333 0.6667 0.0945 [1 per cell]  1 Ni 2.32, 4 Al 2.34-2.53, 3 Si 2.51
Ni 0.3333 0.6667 0.4149 [1 per cell]  4 Ni 2.32-2.51, 1 Al 2.38, 3 Si 2.53
Ni 0.6667 0.3333 0.5714 [1 per cell]  1 Si 2.31, 4 Ni 2.45-2.51, 3 Al 2.57
Ni 0.6667 0.3333 0.9111 [1 per cell]  6 Al 2.33-2.54, 4 Ni 2.45-2.60, 1 Si 2.46

Density functional theory data (PBE) for a relaxed Ta2ZnGe2 crystal.

Calculated values
Excess energy over the best structure of this formula in the dataset, meV/atom: 0
Volume, A^3/atom: 17.50
Spin magnetization, μB per formula unit: 0.0
Energy of formation, eV per formula unit: 0.09

Cell: 7.0304 7.0304 3.5407 Å, 90.00 90.00 90.00°
Last column: nearest neighbours and their distance in Å.
Space group P4/mbm (No. 127)
Asymmetric unit:
Ta 0.1502 0.3498 0.0000 [4 per cell]  6 Ge 2.67-2.75, 2 Zn 2.68, 1 Ta 2.99
Zn 0.0000 0.0000 0.0000 [2 per cell]  4 Ta 2.68
Ge 0.1482 0.6482 0.5000 [4 per cell]  6 Ta 2.67-2.75, 1 Ge 2.95

Density functional theory data (PBE) for a relaxed Li2LaMo crystal.

Calculated values
Excess energy over the best structure of this formula in the dataset, meV/atom: 67
Volume, A^3/atom: 20.66
Spin magnetization, μB per formula unit: 0.0
Energy of formation, eV per formula unit: 1.92

Cell: 5.3330 10.7505 3.1623 Å, 90.00 114.26 90.00°
Last column: nearest neighbours and their distance in Å.
Space group C2/m (No. 12)
Asymmetric unit:
Li 0.2500 0.2500 0.0000 [4 per cell]  2 Li 2.67
La 0.0000 0.0000 0.5000 [2 per cell]  2 Mo 2.67
Mo 0.0000 0.5000 0.5000 [2 per cell]  2 La 2.67